(1)
The following is a GGA-PBEsol calculation of a relaxed structure of SrScRe2, from Alexandria via LeMat-Bulk.

Computed properties:
DFT formation energy   964.1 meV/atom
Total magnetization   0.0 Bohr magnetons per cell
ΔE to the lowest computed polymorph   0.339 eV/atom
Crystal system   tetragonal

CIF file:
```
data_SrScRe2
_cell_length_a 3.872
_cell_length_b 3.872
_cell_length_c 4.938
_cell_angle_alpha 90.00
_cell_angle_beta 90.00
_cell_angle_gamma 90.00
_symmetry_space_group_name_H-M 'P 4/m m m'
_symmetry_Int_Tables_number 123
_symmetry_space_group_name_Hall '-P 4 2'
loop_
_atom_site_label
_atom_site_type_symbol
_atom_site_fract_x
_atom_site_fract_y
_atom_site_fract_z
Sr1 Sr 0.000 0.000 0.000
Sc1 Sc 0.500 0.500 0.000
Re1 Re 0.000 0.500 0.500
```


(2)
The following is a GGA-PBEsol calculation of a relaxed structure of SrSc2Re, from Alexandria via LeMat-Bulk.

Computed properties:
DFT formation energy   388.1 meV/atom
Total magnetization   0.0 Bohr magnetons per cell
ΔE to the lowest computed polymorph   0.061 eV/atom
Crystal system   orthorhombic

CIF file:
```
data_SrSc2Re
_cell_length_a 4.261
_cell_length_b 5.380
_cell_length_c 7.651
_cell_angle_alpha 90.00
_cell_angle_beta 90.00
_cell_angle_gamma 90.00
_symmetry_space_group_name_H-M 'I m m m'
_symmetry_Int_Tables_number 71
_symmetry_space_group_name_Hall '-I 2 2'
loop_
_atom_site_label
_atom_site_type_symbol
_atom_site_fract_x
_atom_site_fract_y
_atom_site_fract_z
Sr1 Sr 0.000 0.000 0.000
Sc1 Sc 0.000 0.500 0.214
Re1 Re 0.000 0.000 0.500
```


(3)
The following is a GGA-PBEsol calculation of a relaxed structure of SrScRe, from Alexandria via LeMat-Bulk.

Computed properties:
DFT formation energy   531.0 meV/atom
Total magnetization   0.0 Bohr magnetons per cell
Crystal system   tetragonal

CIF file:
```
data_SrScRe
_cell_length_a 3.424
_cell_length_b 3.424
_cell_length_c 12.216
_cell_angle_alpha 90.00
_cell_angle_beta 90.00
_cell_angle_gamma 90.00
_symmetry_space_group_name_H-M 'I 4 m m'
_symmetry_Int_Tables_number 107
_symmetry_space_group_name_Hall 'I 4 -2'
loop_
_atom_site_label
_atom_site_type_symbol
_atom_site_fract_x
_atom_site_fract_y
_atom_site_fract_z
Sr1 Sr 0.000 0.000 0.000
Sc1 Sc 0.000 0.000 0.732
Re1 Re 0.000 0.000 0.327
```


(4)
The following is a GGA-PBEsol calculation of a relaxed structure of SrScRe2, from Alexandria via LeMat-Bulk.

Computed properties:
DFT formation energy   625.0 meV/atom
Total magnetization   0.0 Bohr magnetons per cell
ΔE to the lowest computed polymorph   0.000 eV/atom
Crystal system   monoclinic

CIF file:
```
data_SrScRe2
_cell_length_a 9.641
_cell_length_b 3.683
_cell_length_c 5.890
_cell_angle_alpha 90.00
_cell_angle_beta 105.91
_cell_angle_gamma 90.00
_symmetry_space_group_name_H-M 'C 1 2/m 1'
_symmetry_Int_Tables_number 12
loop_
_symmetry_equiv_pos_as_xyz
'x,y,z'
'-x,-y,-z'
'-x,y,-z'
'x,-y,z'
'x+1/2,y+1/2,z'
'-x+1/2,-y+1/2,-z'
'-x+1/2,y+1/2,-z'
'x+1/2,-y+1/2,z'
loop_
_atom_site_label
_atom_site_type_symbol
_atom_site_fract_x
_atom_site_fract_y
_atom_site_fract_z
Sr1 Sr 0.000 0.000 0.000
Sc1 Sc 0.000 0.500 0.500
Re1 Re 0.248 0.000 0.624
```


- Which formula does entry 1 have?
  SrScRe2